[1]
AgSbTe2Cl | the Alexandria database | GGA-PBEsol | optimized geometry; theoretical density = 5.91 g/cm3; D(E_F) = 1.217 states/eV/atom; ΔE_f (raw) = 0.86 eV per atom
1.0
5.280 0.000 0.000
0.000 5.264 0.000
0.000 0.000 5.264
Te Sb Ag Cl
2 1 1 1
direct
0.000 0.500 0.000
0.000 0.000 0.500
0.500 0.000 0.000
0.500 0.500 0.500
0.000 0.000 0.000


[2]
Li3Rh | the Alexandria database | GGA-PBEsol | optimized geometry; theoretical density = 3.44 g/cm3; D(E_F) = 0.733 states/eV/atom; ΔE_f = -43 meV/atom
1.0
-2.302 1.373 0.438
-0.044 -2.711 -0.150
1.433 -0.535 9.217
Li Rh
3 1
direct
0.000 0.000 0.719
0.000 0.000 0.281
0.333 0.667 0.000
0.333 0.667 0.500


[3]
Nb2Sn2O7 | the Alexandria database | GGA-PBEsol | optimized geometry; theoretical density = 5.92 g/cm3; ΔE_f (raw) = -2.02 eV per atom
1.0
7.516 0.000 0.000
3.758 6.509 0.000
3.758 2.170 6.137
O Sn Nb
14 4 4
direct
0.191 0.809 0.191
0.441 0.059 0.441
0.441 0.059 0.059
0.809 0.809 0.191
0.059 0.441 0.059
0.191 0.809 0.809
0.059 0.441 0.441
0.750 0.750 0.750
0.191 0.191 0.809
0.809 0.191 0.809
0.809 0.191 0.191
0.441 0.441 0.059
0.059 0.059 0.441
0.500 0.500 0.500
0.625 0.125 0.625
0.625 0.625 0.625
0.625 0.625 0.125
0.125 0.625 0.625
0.625 0.125 0.125
0.125 0.125 0.125
0.125 0.125 0.625
0.125 0.625 0.125


[4]
SrTl2In | the Alexandria database | GGA-PBEsol | optimized geometry; theoretical density = 8.32 g/cm3; D(E_F) = 0.750 states/eV/atom; ΔE_f = -82 meV/atom
1.0
3.768 0.000 0.000
1.884 3.263 0.000
1.884 1.088 9.925
Tl Sr In
2 1 1
direct
0.245 0.245 0.266
0.755 0.755 0.734
0.000 0.000 0.000
0.500 0.500 0.500


[5]
PrP2Pd2 | the Alexandria database | GGA-PBEsol | optimized geometry; theoretical density = 8.24 g/cm3; D(E_F) = 0.295 states/eV/atom; ΔE_f = -1034 meV/atom
1.0
4.119 0.000 0.000
0.000 4.119 0.000
-2.060 -2.060 4.939
Pr P Pd
1 2 2
direct
0.000 0.000 0.000
0.614 0.614 0.228
0.386 0.386 0.772
0.750 0.250 0.500
0.250 0.750 0.500


[6]
Ti2TcNi | the Alexandria database | GGA-PBEsol | optimized geometry; theoretical density = 7.63 g/cm3; D(E_F) = 0.840 states/eV/atom; ΔE_f = -469 meV/atom
1.0
-1.342 -3.858 -1.233
-1.138 -2.897 2.919
-4.105 -1.076 0.451
Ti Tc Ni
2 1 1
direct
0.250 0.250 0.250
0.750 0.750 0.750
0.500 0.500 0.500
0.000 0.000 0.000


[7]
CrHgP | the Alexandria database | GGA-PBEsol | optimized geometry; theoretical density = 9.91 g/cm3; D(E_F) = 0.606 states/eV/atom; ΔE_f = 209 meV/atom
1.0
-3.640 1.217 0.209
0.754 -3.656 -0.913
-0.101 -0.919 3.598
Cr Hg P
1 1 1
direct
0.000 0.000 0.500
0.667 0.333 0.000
0.333 0.667 0.500


[8]
Ga2SbTeC | the Alexandria database | GGA-PBEsol | optimized geometry; theoretical density = 4.08 g/cm3; D(E_F) = 0.515 states/eV/atom; ΔE_f (raw) = 1.90 eV per atom
1.0
5.351 0.000 0.000
0.000 5.351 0.000
0.000 0.000 5.702
Ga Te Sb C
2 1 1 1
direct
0.500 0.000 0.000
0.000 0.500 0.000
0.000 0.000 0.500
0.000 0.000 0.000
0.500 0.500 0.500


[9]
Ca2FeNi | the Alexandria database | GGA-PBEsol | optimized geometry; theoretical density = 3.72 g/cm3; D(E_F) = 1.068 states/eV/atom; ΔE_f = 259 meV/atom
1.0
3.258 0.000 0.000
0.000 3.258 0.000
0.000 0.000 8.177
Ca Fe Ni
2 1 1
direct
0.500 0.500 0.323
0.000 0.000 0.924
0.000 0.000 0.584
0.500 0.500 0.669


[10]
NaFeP2O | the Alexandria database | GGA-PBEsol | optimized geometry; theoretical density = 3.05 g/cm3; D(E_F) = 0.990 states/eV/atom; ΔE_f (raw) = 1.44 eV per atom
1.0
-2.393 2.769 1.115
-3.669 -2.881 -0.722
0.317 -1.521 4.457
O P Na Fe
1 2 1 1
direct
0.500 0.000 0.000
0.000 0.500 0.000
0.000 0.000 0.500
0.000 0.000 0.000
0.500 0.500 0.500